{"formula": "Cs3Tm2BiTe6", "functional": "PBE", "state": "optimized geometry", "lattice_angstrom": [[7.9160, -0.0009, 0.0004], [-3.9569, 6.8562, 0.0004], [-1.3198, -2.2853, 8.8990]], "species": ["Tm", "Cs", "Te", "Cs", "Te", "Te", "Cs", "Tm", "Te", "Te", "Te", "Bi"], "fractional_positions": [[0.6669, 0.3331, 0.0000], [0.1645, 0.8355, 0.5000], [0.7209, 0.7209, 0.1880], [0.8355, 0.1645, 0.5000], [0.4045, 0.0630, 0.1887], [0.9370, 0.5955, 0.8113], [0.5000, 0.5000, 0.5000], [0.3331, 0.6669, 0.0000], [0.2791, 0.2791, 0.8120], [0.5955, 0.9370, 0.8113], [0.0630, 0.4045, 0.1887], [0.0000, 0.0000, 0.0000]], "dft_energy_ev_per_atom": -3.9642, "e_form_raw_ev_per_atom": -1.111}

---

{"formula": "Cs3Tm3BiTe8", "functional": "PBE", "state": "optimized geometry", "lattice_angstrom": [[-7.3564, 1.3026, -4.7287], [2.8440, -8.2583, 1.5666], [-4.4244, 4.8381, 8.2156]], "species": ["Tm", "Te", "Te", "Bi", "Cs", "Te", "Cs", "Te", "Tm", "Te", "Te", "Te", "Tm", "Te", "Cs"], "fractional_positions": [[0.5000, 0.5000, 0.5000], [0.2704, 0.5409, 0.3116], [0.2364, 0.9542, 0.6902], [0.0000, 0.0000, 0.5000], [0.0000, 0.5000, 0.0000], [0.7636, 0.0458, 0.3098], [0.5000, 0.5000, 0.0000], [0.7296, 0.4591, 0.6884], [0.0000, 0.5000, 0.5000], [0.2823, 0.0458, 0.3098], [0.2365, 0.4730, 0.6904], [0.7635, 0.5270, 0.3096], [0.5000, 0.0000, 0.5000], [0.7177, 0.9542, 0.6902], [0.0000, 0.0000, 0.0000]], "dft_energy_ev_per_atom": -4.1009, "e_form_raw_ev_per_atom": -1.102}

---

{"formula": "Cs3TmBi2Te6", "functional": "PBE", "state": "optimized geometry", "lattice_angstrom": [[-5.9310, -3.8602, -3.7394], [7.4743, -0.4502, -2.8271], [0.9689, -5.7492, 7.2522]], "species": ["Te", "Tm", "Bi", "Te", "Cs", "Cs", "Te", "Bi", "Te", "Te", "Te", "Cs"], "fractional_positions": [[0.0631, 0.3882, 0.1897], [0.0000, 0.0000, 0.0000], [0.6663, 0.3337, 0.0000], [0.2615, 0.2615, 0.8095], [0.5000, 0.5000, 0.5000], [0.1696, 0.8304, 0.5000], [0.3882, 0.0631, 0.1897], [0.3337, 0.6663, 0.0000], [0.7385, 0.7385, 0.1905], [0.6118, 0.9369, 0.8103], [0.9369, 0.6118, 0.8103], [0.8304, 0.1696, 0.5000]], "dft_energy_ev_per_atom": -3.6707, "e_form_raw_ev_per_atom": -0.867}